1.
DFT (GGA-PBE) results for a relaxed structure of NdScO3.

Calculated values
Energy   -85.7 eV/cell
SG   No. 148
Density   5.7 g cm⁻³
Total magnetization   0.00 μB/f.u.

Cell lengths 5.650, 5.650, 5.981 Å; angles 61.81, 61.81, 60.00 degrees
Fractional positions:
Nd 0.868 0.868 0.395
Nd 0.132 0.132 0.605
O 0.945 0.528 0.237
O 0.290 0.945 0.237
O 0.528 0.290 0.237
O 0.472 0.710 0.763
O 0.710 0.055 0.763
O 0.055 0.472 0.763
Sc 0.650 0.650 0.049
Sc 0.350 0.350 0.951

***

2.
DFT (GGA-PBE) results for a relaxed structure of Ho2Re2O5.

Calculated values
Energy   -72.0 eV/cell
SG   No. 123
Density   11.2 g cm⁻³
Total magnetization   2.47 μB/f.u.

Cell lengths 9.413, 3.512, 3.512 Å; angles 90.00, 90.00, 90.00 degrees
Fractional positions:
Ho 0.265 0.500 0.500
Ho 0.735 0.500 0.500
O 0.123 0.500 0.000
O 0.877 0.500 0.000
O 0.123 0.000 0.500
O 0.877 0.000 0.500
O 0.500 0.500 0.500
Re 0.000 0.000 0.000
Re 0.500 0.000 0.000